Compound: CaCrW2
Source: the Alexandria database
Functional: PBE
Structure: optimized geometry

Cell and atoms, written as POSCAR:
```
CaCrW2
1.0
4.523 -1.389 0.000
4.523 1.389 0.000
-0.336 0.000 6.030
Ca Cr W
1 1 2
Direct
0.000 0.000 0.000
0.242 0.242 0.708
0.509 0.509 0.503
0.758 0.758 0.308
```

## Properties
Size of the total moment in μB/atom: 0.812
Calculated formation energy in eV/atom: 0.8557
Distance to the lowest polymorph of the same formula in eV/atom: 0.228
Symmetry: Cm (8)
V in Å³/cell: 75.8